(1)
# CoSb2Pd PBE optimized geometry
data_CoSb2Pd
_chemical_formula_sum 'Co2 Sb4 Pd2'
_symmetry_space_group_name_H-M 'P 4/n m m'
_symmetry_Int_Tables_number 129
_cell_length_a 4.205
_cell_length_b 4.205
_cell_length_c 8.361
_cell_angle_alpha 90.00
_cell_angle_beta 90.00
_cell_angle_gamma 90.00
loop_
_symmetry_equiv_pos_as_xyz
'x,y,z'
'-x,-y,-z'
'-y+1/2,x,z'
'y+1/2,-x,-z'
'-x+1/2,-y+1/2,z'
'x+1/2,y+1/2,-z'
'y,-x+1/2,z'
'-y,x+1/2,-z'
'x+1/2,-y,-z'
'-x+1/2,y,z'
'-y,-x,-z'
'y,x,z'
'-x,y+1/2,-z'
'x,-y+1/2,z'
'y+1/2,x+1/2,-z'
'-y+1/2,-x+1/2,z'
loop_
_atom_site_label
_atom_site_fract_x
_atom_site_fract_y
_atom_site_fract_z
Co1 0.250 0.250 0.199
Sb1 0.250 0.250 0.698
Sb2 0.250 0.750 0.000
Pd1 0.250 0.750 0.500
# energy relative to the lowest polymorph listed for this composition: 113 meV/atom
# magnetization: 0.037 μB per atom
# crystal system: tetragonal

***

(2)
# Co2SbPd PBE optimized geometry
data_Co2SbPd
_chemical_formula_sum 'Co8 Sb4 Pd4'
_symmetry_space_group_name_H-M 'F -4 3 m'
_symmetry_Int_Tables_number 216
_symmetry_space_group_name_Hall 'F -4 2 3'
_cell_length_a 6.100
_cell_length_b 6.100
_cell_length_c 6.100
_cell_angle_alpha 90.00
_cell_angle_beta 90.00
_cell_angle_gamma 90.00
loop_
_atom_site_label
_atom_site_fract_x
_atom_site_fract_y
_atom_site_fract_z
Co1 0.000 0.000 0.000
Co2 0.250 0.250 0.250
Sb1 0.000 0.000 0.500
Pd1 0.250 0.250 0.750
# magnetization: 0.642 μB per atom
# crystal system: cubic

***

(3)
# CoSb2Pd PBE optimized geometry
data_CoSb2Pd
_chemical_formula_sum 'Co4 Sb8 Pd4'
_symmetry_space_group_name_H-M 'I -4 2 d'
_symmetry_Int_Tables_number 122
_symmetry_space_group_name_Hall 'I -4 2bw'
_cell_length_a 5.816
_cell_length_b 5.816
_cell_length_c 11.673
_cell_angle_alpha 90.00
_cell_angle_beta 90.00
_cell_angle_gamma 90.00
loop_
_atom_site_label
_atom_site_fract_x
_atom_site_fract_y
_atom_site_fract_z
Co1 0.000 0.000 0.000
Sb1 0.220 0.750 0.125
Pd1 0.000 0.000 0.500
# energy relative to the lowest polymorph listed for this composition: 138 meV/atom
# magnetization: 0.000 μB per atom
# crystal system: tetragonal

***

(4)
# CoSbPd2 PBE optimized geometry
data_CoSbPd2
_chemical_formula_sum 'Co4 Sb4 Pd8'
_symmetry_space_group_name_H-M 'F -4 3 m'
_symmetry_Int_Tables_number 216
_symmetry_space_group_name_Hall 'F -4 2 3'
_cell_length_a 6.267
_cell_length_b 6.267
_cell_length_c 6.267
_cell_angle_alpha 90.00
_cell_angle_beta 90.00
_cell_angle_gamma 90.00
loop_
_atom_site_label
_atom_site_fract_x
_atom_site_fract_y
_atom_site_fract_z
Co1 0.000 0.000 0.000
Sb1 0.250 0.250 0.750
Pd1 0.000 0.000 0.500
Pd2 0.250 0.250 0.250
# magnetization: 0.019 μB per atom
# crystal system: cubic

***

(5)
# CoSb2Pd PBE optimized geometry
data_CoSb2Pd
_chemical_formula_sum 'Co1 Sb2 Pd1'
_symmetry_space_group_name_H-M 'P -6 m 2'
_symmetry_Int_Tables_number 187
_symmetry_space_group_name_Hall 'P -6 2'
_cell_length_a 3.3217
_cell_length_b 3.3217
_cell_length_c 7.8116
_cell_angle_alpha 90.00
_cell_angle_beta 90.00
_cell_angle_gamma 120.00
loop_
_atom_site_label
_atom_site_fract_x
_atom_site_fract_y
_atom_site_fract_z
Co1 0.0000 0.0000 0.0000
Sb1 0.3333 0.6667 0.2261
Pd1 0.6667 0.3333 0.5000
# energy relative to the lowest polymorph listed for this composition: 0 meV/atom
# magnetization: 0.001 μB per atom
# crystal system: hexagonal

***

(6)
# CoSb2Pd PBE optimized geometry
data_CoSb2Pd
_chemical_formula_sum 'Co4 Sb8 Pd4'
_symmetry_space_group_name_H-M 'F -4 3 m'
_symmetry_Int_Tables_number 216
_symmetry_space_group_name_Hall 'F -4 2 3'
_cell_length_a 6.723
_cell_length_b 6.723
_cell_length_c 6.723
_cell_angle_alpha 90.00
_cell_angle_beta 90.00
_cell_angle_gamma 90.00
loop_
_atom_site_label
_atom_site_fract_x
_atom_site_fract_y
_atom_site_fract_z
Co1 0.000 0.000 0.000
Sb1 0.000 0.000 0.500
Sb2 0.250 0.250 0.250
Pd1 0.250 0.250 0.750
# energy relative to the lowest polymorph listed for this composition: 411 meV/atom
# magnetization: 0.368 μB per atom
# crystal system: cubic

***

(7)
# ScCoSbPd PBE optimized geometry
data_ScCoSbPd
_chemical_formula_sum 'Sc4 Co4 Sb4 Pd4'
_symmetry_space_group_name_H-M 'F -4 3 m'
_symmetry_Int_Tables_number 216
_symmetry_space_group_name_Hall 'F -4 2 3'
_cell_length_a 6.493
_cell_length_b 6.493
_cell_length_c 6.493
_cell_angle_alpha 90.00
_cell_angle_beta 90.00
_cell_angle_gamma 90.00
loop_
_atom_site_label
_atom_site_fract_x
_atom_site_fract_y
_atom_site_fract_z
Sc1 0.000 0.000 0.000
Co1 0.000 0.000 0.500
Sb1 0.250 0.250 0.250
Pd1 0.250 0.250 0.750
# energy relative to the lowest polymorph listed for this composition: 195 meV/atom
# magnetization: 0.088 μB per atom
# crystal system: cubic

***

(8)
# ScCoSbPd PBE optimized geometry
data_ScCoSbPd
_chemical_formula_sum 'Sc4 Co4 Sb4 Pd4'
_symmetry_space_group_name_H-M 'F -4 3 m'
_symmetry_Int_Tables_number 216
_symmetry_space_group_name_Hall 'F -4 2 3'
_cell_length_a 6.398
_cell_length_b 6.398
_cell_length_c 6.398
_cell_angle_alpha 90.00
_cell_angle_beta 90.00
_cell_angle_gamma 90.00
loop_
_atom_site_label
_atom_site_fract_x
_atom_site_fract_y
_atom_site_fract_z
Sc1 0.000 0.000 0.000
Co1 0.250 0.250 0.750
Sb1 0.000 0.000 0.500
Pd1 0.250 0.250 0.250
# energy relative to the lowest polymorph listed for this composition: 0 meV/atom
# magnetization: 0.044 μB per atom
# crystal system: cubic

***

(9)
# CoTcSbPd PBE optimized geometry
data_CoTcSbPd
_chemical_formula_sum 'Co4 Tc4 Sb4 Pd4'
_symmetry_space_group_name_H-M 'F -4 3 m'
_symmetry_Int_Tables_number 216
_symmetry_space_group_name_Hall 'F -4 2 3'
_cell_length_a 6.254
_cell_length_b 6.254
_cell_length_c 6.254
_cell_angle_alpha 90.00
_cell_angle_beta 90.00
_cell_angle_gamma 90.00
loop_
_atom_site_label
_atom_site_fract_x
_atom_site_fract_y
_atom_site_fract_z
Co1 0.000 0.000 0.000
Tc1 0.000 0.000 0.500
Sb1 0.250 0.250 0.750
Pd1 0.250 0.250 0.250
# energy relative to the lowest polymorph listed for this composition: 0 meV/atom
# magnetization: 0.467 μB per atom
# crystal system: cubic

***

(10)
# ZnCoSbPd PBE optimized geometry
data_ZnCoSbPd
_chemical_formula_sum 'Zn4 Co4 Sb4 Pd4'
_symmetry_space_group_name_H-M 'F -4 3 m'
_symmetry_Int_Tables_number 216
_symmetry_space_group_name_Hall 'F -4 2 3'
_cell_length_a 6.271
_cell_length_b 6.271
_cell_length_c 6.271
_cell_angle_alpha 90.00
_cell_angle_beta 90.00
_cell_angle_gamma 90.00
loop_
_atom_site_label
_atom_site_fract_x
_atom_site_fract_y
_atom_site_fract_z
Zn1 0.000 0.000 0.000
Co1 0.250 0.250 0.750
Sb1 0.000 0.000 0.500
Pd1 0.250 0.250 0.250
# energy relative to the lowest polymorph listed for this composition: 0 meV/atom
# magnetization: 0.186 μB per atom
# crystal system: cubic

***

(11)
# ZrCoSbPd PBE optimized geometry
data_ZrCoSbPd
_chemical_formula_sum 'Zr4 Co4 Sb4 Pd4'
_symmetry_space_group_name_H-M 'F -4 3 m'
_symmetry_Int_Tables_number 216
_symmetry_space_group_name_Hall 'F -4 2 3'
_cell_length_a 6.470
_cell_length_b 6.470
_cell_length_c 6.470
_cell_angle_alpha 90.00
_cell_angle_beta 90.00
_cell_angle_gamma 90.00
loop_
_atom_site_label
_atom_site_fract_x
_atom_site_fract_y
_atom_site_fract_z
Zr1 0.000 0.000 0.000
Co1 0.250 0.250 0.750
Sb1 0.000 0.000 0.500
Pd1 0.250 0.250 0.250
# energy relative to the lowest polymorph listed for this composition: 0 meV/atom
# magnetization: 0.014 μB per atom
# crystal system: cubic

***

(12)
# ZrCoSbPd PBE optimized geometry
data_ZrCoSbPd
_chemical_formula_sum 'Zr4 Co4 Sb4 Pd4'
_symmetry_space_group_name_H-M 'F -4 3 m'
_symmetry_Int_Tables_number 216
_symmetry_space_group_name_Hall 'F -4 2 3'
_cell_length_a 6.520
_cell_length_b 6.520
_cell_length_c 6.520
_cell_angle_alpha 90.00
_cell_angle_beta 90.00
_cell_angle_gamma 90.00
loop_
_atom_site_label
_atom_site_fract_x
_atom_site_fract_y
_atom_site_fract_z
Zr1 0.000 0.000 0.000
Co1 0.000 0.000 0.500
Sb1 0.250 0.250 0.250
Pd1 0.250 0.250 0.750
# energy relative to the lowest polymorph listed for this composition: 175 meV/atom
# magnetization: 0.203 μB per atom
# crystal system: cubic

***

What E_tot values result from the calculations? In sequence: -40.14, -92.45, -79.86, -88.09, -20.52, -75.50, -96.20, -99.32, -105.05, -72.33, -106.19, -103.39 eV per cell.